Compound: CaRe2Os
Source: Alexandria
Functional: PBE-GGA
Structure: relaxed

It has space group C2/m (No. 12), with a = 5.4811 Å, b = 9.2415 Å, c = 2.7163 Å, α = 90.00°, β = 107.89° and γ = 90.00°. The inequivalent atoms are Ca at (0.0000, 0.0000, 0.0000), Re at (0.2500, 0.2500, 0.5000) and Os at (0.0000, 0.5000, 0.0000).

As for the formation enthalpy at 0 K: 0.677 eV per atom. Its total magnetic moment is 0.00 Bohr magnetons per cell.


Compound: CaReOs2
Source: Alexandria
Functional: PBE-GGA
Structure: relaxed

It has space group F-43m (No. 216), with a = 6.3692 Å, b = 6.3692 Å, c = 6.3692 Å, α = 90.00°, β = 90.00° and γ = 90.00°. The inequivalent atoms are Ca at (0.0000, 0.0000, 0.0000), Re at (0.2500, 0.2500, 0.7500), Os at (0.0000, 0.0000, 0.5000) and Os at (0.2500, 0.2500, 0.2500).

As for the formation enthalpy at 0 K: 0.798 eV per atom. Its total magnetic moment is 0.01 Bohr magnetons per cell.


Compound: Ca2ReOs
Source: Alexandria
Functional: PBE-GGA
Structure: relaxed

It has space group Fm-3m (No. 225), with a = 6.9374 Å, b = 6.9374 Å, c = 6.9374 Å, α = 90.00°, β = 90.00° and γ = 90.00°. The inequivalent atoms are Ca at (0.2500, 0.2500, 0.2500), Re at (0.0000, 0.0000, 0.0000) and Os at (0.0000, 0.0000, 0.5000).

As for the formation enthalpy at 0 K: 1.194 eV per atom. Its total magnetic moment is 12.49 Bohr magnetons per cell.


Compound: Ca2ReOs
Source: Alexandria
Functional: PBE-GGA
Structure: relaxed

It has space group Cmmm (No. 65), with a = 3.4603 Å, b = 4.4550 Å, c = 9.7875 Å, α = 90.00°, β = 90.00° and γ = 90.00°. The inequivalent atoms are Ca at (0.0000, 0.0000, 0.2424), Re at (0.0000, 0.5000, 0.5000) and Os at (0.0000, 0.5000, 0.0000).

As for the formation enthalpy at 0 K: 0.773 eV per atom. Its total magnetic moment is 0.00 Bohr magnetons per cell.


Compound: CaRe2Os
Source: Alexandria
Functional: PBE-GGA
Structure: relaxed

It has space group P4/mmm (No. 123), with a = 2.7901 Å, b = 2.7901 Å, c = 8.8272 Å, α = 90.00°, β = 90.00° and γ = 90.00°. The inequivalent atoms are Ca at (0.0000, 0.0000, 0.0000), Re at (0.5000, 0.5000, 0.2886) and Os at (0.0000, 0.0000, 0.5000).

As for the formation enthalpy at 0 K: 0.511 eV per atom. Its total magnetic moment is 0.00 Bohr magnetons per cell.


Compound: CaRe2Os2
Source: Alexandria
Functional: PBE-GGA
Structure: relaxed

It has space group I4/mmm (No. 139), with a = 4.3137 Å, b = 4.3137 Å, c = 10.2976 Å, α = 90.00°, β = 90.00° and γ = 90.00°. The inequivalent atoms are Ca at (0.0000, 0.0000, 0.0000), Re at (0.0000, 0.5000, 0.2500) and Os at (0.0000, 0.0000, 0.3770).

As for the formation enthalpy at 0 K: 0.170 eV per atom. Its total magnetic moment is 0.00 Bohr magnetons per cell.